Record 1
DFT (PBE) results for an optimized crystal structure of Er3Tl2In.

abc: 3.627 3.627 12.116
angles: 90.00 90.00 90.00
Sites, in units of the cell vectors:
Er 0.000 0.000 0.000
Er 0.000 0.000 0.336
Er 0.000 0.000 0.664
Tl 0.500 0.500 0.167
Tl 0.500 0.500 0.833
In 0.500 0.500 0.500

Computed properties:
crystal system: tetragonal
formation energy from the elements: -0.36 eV/atom


Record 2
DFT (PBE) results for an optimized crystal structure of Pm2Ni4As3Pd.

abc: 4.118 4.118 9.835
angles: 90.00 90.00 90.00
Sites, in units of the cell vectors:
Pm 0.000 0.500 0.248
Pm 0.500 0.000 0.752
Ni 0.000 0.000 0.000
Ni 0.000 0.500 0.637
Ni 0.500 0.000 0.363
Ni 0.500 0.500 0.000
As 0.000 0.500 0.872
As 0.500 0.000 0.128
As 0.500 0.500 0.500
Pd 0.000 0.000 0.500

Computed properties:
crystal system: tetragonal
formation energy from the elements: -0.75 eV/atom


Record 3
DFT (PBE) results for an optimized crystal structure of NaRuPt2.

abc: 7.391 7.391 5.422
angles: 90.00 90.00 90.00
Sites, in units of the cell vectors:
Na 0.000 0.000 0.000
Na 0.000 0.500 0.250
Na 0.500 0.000 0.750
Na 0.500 0.500 0.500
Ru 0.000 0.000 0.500
Ru 0.000 0.500 0.750
Ru 0.500 0.000 0.250
Ru 0.500 0.500 0.000
Pt 0.214 0.250 0.625
Pt 0.250 0.714 0.875
Pt 0.250 0.786 0.375
Pt 0.286 0.250 0.125
Pt 0.714 0.750 0.125
Pt 0.750 0.214 0.375
Pt 0.750 0.286 0.875
Pt 0.786 0.750 0.625

Computed properties:
crystal system: tetragonal
formation energy from the elements: 0.54 eV/atom


Record 4
DFT (PBE) results for an optimized crystal structure of Ho6Cd2In.

abc: 10.076 7.892 7.189
angles: 83.71 51.13 45.17
Sites, in units of the cell vectors:
Ho 0.157 0.843 0.157
Ho 0.175 0.491 0.509
Ho 0.491 0.175 0.825
Ho 0.509 0.825 0.175
Ho 0.825 0.509 0.491
Ho 0.843 0.157 0.843
Cd 0.166 0.166 0.834
Cd 0.834 0.834 0.166
In 0.500 0.500 0.500

Computed properties:
crystal system: orthorhombic
formation energy from the elements: -0.23 eV/atom


Record 5
DFT (PBE) results for an optimized crystal structure of Li6Ga5Pb.

abc: 6.553 6.553 8.177
angles: 90.00 90.00 144.25
Sites, in units of the cell vectors:
Li 0.000 0.000 0.238
Li 0.000 0.000 0.762
Li 0.331 0.669 0.240
Li 0.331 0.669 0.760
Li 0.669 0.331 0.240
Li 0.669 0.331 0.760
Ga 0.167 0.833 0.000
Ga 0.180 0.820 0.500
Ga 0.500 0.500 0.000
Ga 0.820 0.180 0.500
Ga 0.833 0.167 0.000
Pb 0.500 0.500 0.500

Computed properties:
crystal system: orthorhombic
formation energy from the elements: -0.26 eV/atom


Record 6
DFT (PBE) results for an optimized crystal structure of KTl2GeCl5.

abc: 9.204 9.204 16.312
angles: 90.00 90.00 153.58
Sites, in units of the cell vectors:
K 0.051 0.949 0.500
K 0.949 0.051 0.000
Tl 0.352 0.648 0.309
Tl 0.436 0.564 0.715
Tl 0.564 0.436 0.215
Tl 0.648 0.352 0.809
Ge 0.253 0.747 0.086
Ge 0.747 0.253 0.586
Cl 0.019 0.981 0.830
Cl 0.116 0.884 0.070
Cl 0.228 0.772 0.480
Cl 0.253 0.747 0.700
Cl 0.413 0.587 0.126
Cl 0.587 0.413 0.626
Cl 0.747 0.253 0.200
Cl 0.772 0.228 0.980
Cl 0.884 0.116 0.570
Cl 0.981 0.019 0.330

Computed properties:
crystal system: orthorhombic
formation energy from raw total energies: -1.121 eV/atom


no.,total magnetic moment (μB/f.u.)
1,0.00
2,0.00
3,2.69
4,1.64
5,0.00
6,0.00